A plane-wave DFT calculation with PBEsol was carried out for a relaxed structure of Cd2MoAs.

```
Cd2MoAs
1.0
2.827 0.000 0.000
0.000 2.827 0.000
0.000 0.000 9.305
Cd Mo As
2 1 1
Direct
0.000 0.000 0.233 Cd
0.000 0.000 0.767 Cd
0.500 0.500 0.000 Mo
0.500 0.500 0.500 As
```

Properties
Space group ... No. 123
Formation enthalpy at 0 K ... 1.64 eV/f.u.
Total moment ... 0.00 μB/f.u.